Compound: Nb5P3
Source: the Alexandria database
Functional: GGA-PBEsol
Structure: optimized geometry

Properties
The value obtained for the volume is 995.57 Å³ per cell. The calculation puts the formation energy at -946.0 meV per atom. The value obtained for the magnetization is 0.000 μB/atom.

The structure in POSCAR format:
```
Nb5P3
1.0
3.417 0.000 0.000
0.000 11.481 0.000
0.000 0.000 25.380
Nb P
40 24
Cartesian
0.854 1.778 19.283
0.854 3.963 6.594
0.854 4.488 25.361
2.563 5.270 4.491
0.854 7.544 16.190
0.854 3.311 3.157
2.563 2.226 1.153
0.854 6.519 2.563
0.854 6.211 20.889
2.563 5.087 16.541
2.563 1.392 6.967
2.563 4.962 22.817
2.563 0.653 3.852
2.563 8.169 22.223
0.854 10.828 21.528
2.563 9.052 9.533
0.854 9.255 24.227
2.563 7.518 18.786
2.563 10.229 12.709
0.854 0.972 24.472
2.563 0.470 17.180
0.854 6.393 8.838
0.854 10.088 18.413
2.563 4.348 19.656
0.854 9.677 3.500
0.854 10.702 15.253
0.854 11.011 8.199
2.563 10.509 0.907
0.854 7.133 5.723
0.854 7.967 11.537
0.854 2.429 15.847
2.563 3.514 13.842
2.563 6.993 0.019
2.563 3.937 9.189
2.563 9.703 6.096
2.563 6.712 13.597
2.563 1.804 21.879
0.854 1.252 12.671
0.854 4.769 11.783
2.563 0.778 10.127
0.854 8.605 1.250
2.563 6.334 10.736
2.563 5.759 7.103
2.563 9.327 16.691
2.563 11.462 19.793
0.854 10.544 10.842
2.563 2.824 5.001
0.854 0.018 5.587
0.854 6.677 23.532
2.563 4.804 1.848
0.854 8.657 20.378
0.854 8.565 7.689
0.854 0.594 1.954
0.854 5.147 14.644
0.854 8.616 13.940
2.563 2.865 11.440
2.563 10.887 23.426
2.563 2.916 17.691
0.854 2.153 8.689
0.854 5.722 18.277
2.563 2.876 24.130
2.563 0.937 14.537
2.563 7.894 4.001
0.854 3.587 21.378
```